Below is a relaxed Mg2TlHg6 crystal, with properties calculated at the PBE level.

Fermi-level density of states = 0.278 states/eV/atom
E_form = -73 meV/atom
SG = C2/c, No. 15

Cell lengths 4.849, 10.570, 10.570 Å; angles 56.91, 86.23, 86.23 degrees
Positions (direct):
Mg: 0.356 0.526 0.800
Mg: 0.144 0.200 0.474
Mg: 0.644 0.474 0.200
Mg: 0.856 0.800 0.526
Tl: 0.250 0.144 0.856
Tl: 0.750 0.856 0.144
Hg: 0.400 0.673 0.463
Hg: 0.100 0.537 0.327
Hg: 0.600 0.327 0.537
Hg: 0.900 0.463 0.673
Hg: 0.681 0.125 0.362
Hg: 0.819 0.638 0.875
Hg: 0.319 0.875 0.638
Hg: 0.181 0.362 0.125
Hg: 0.301 0.762 0.991
Hg: 0.199 0.009 0.238
Hg: 0.699 0.238 0.009
Hg: 0.801 0.991 0.762

Below is a relaxed MgTl3Hg12 crystal, with properties calculated at the PBE level.

Fermi-level density of states = 0.128 states/eV/atom
E_form = -33 meV/atom
SG = P2/m, No. 10

Cell lengths 5.331, 3.691, 22.285 Å; angles 90.00, 98.80, 90.00 degrees
Positions (direct):
Mg: 0.000 0.000 0.000
Tl: 0.087 0.000 0.236
Tl: 0.000 0.000 0.500
Tl: 0.913 0.000 0.764
Hg: 0.500 0.500 0.000
Hg: 0.592 0.500 0.246
Hg: 0.500 0.500 0.500
Hg: 0.408 0.500 0.754
Hg: 0.536 0.000 0.122
Hg: 0.560 0.000 0.371
Hg: 0.440 0.000 0.629
Hg: 0.464 0.000 0.878
Hg: 0.031 0.500 0.107
Hg: 0.062 0.500 0.369
Hg: 0.938 0.500 0.631
Hg: 0.969 0.500 0.893

Below is a relaxed MgTlHg2 crystal, with properties calculated at the PBE level.

Fermi-level density of states = 0.251 states/eV/atom
E_form = -102 meV/atom
SG = Pmmm, No. 47

Cell lengths 3.388, 3.478, 8.439 Å; angles 90.00, 90.00, 90.00 degrees
Positions (direct):
Mg: 0.500 0.500 0.250
Tl: 0.500 0.500 0.750
Hg: 0.000 0.000 0.036
Hg: 0.000 0.000 0.464

Below is a relaxed MgTl16Hg12 crystal, with properties calculated at the PBE level.

Fermi-level density of states = 0.312 states/eV/atom
E_form = -8 meV/atom
SG = Cm, No. 8

Cell lengths 10.244, 10.244, 10.289 Å; angles 109.80, 109.80, 109.24 degrees
Positions (direct):
Mg: 0.574 0.574 0.275
Tl: 0.356 0.356 0.363
Tl: 0.000 0.000 0.995
Tl: 0.016 0.016 0.647
Tl: 0.332 0.332 0.703
Tl: 0.684 0.401 0.004
Tl: 0.622 0.302 0.617
Tl: 0.001 0.673 0.406
Tl: 0.997 0.639 0.992
Tl: 0.707 0.311 0.311
Tl: 0.401 0.008 0.673
Tl: 0.008 0.401 0.673
Tl: 0.311 0.707 0.311
Tl: 0.639 0.997 0.992
Tl: 0.673 0.001 0.406
Tl: 0.302 0.622 0.617
Tl: 0.401 0.684 0.004
Hg: 0.781 0.781 0.206
Hg: 0.662 0.662 0.844
Hg: 0.377 0.197 0.003
Hg: 0.812 0.632 0.611
Hg: 0.160 0.976 0.348
Hg: 0.366 0.006 0.196
Hg: 0.183 0.825 0.821
Hg: 0.825 0.183 0.821
Hg: 0.006 0.366 0.196
Hg: 0.976 0.160 0.348
Hg: 0.632 0.812 0.611
Hg: 0.197 0.377 0.003